# 1
# PmGaFe

A relaxed structure of PmGaFe (PBE, Alexandria).

Lattice parameters (Å, degrees): 4.2863 4.2863 3.9163 90.00 90.00 120.00
Atoms (fractional coordinates):
Pm1 0.0000 0.0000 0.0000
Ga1 0.3333 0.6667 0.5000
Fe1 0.6667 0.3333 0.5000

Properties
D(E_F) (states/eV/cell): 4.43
Formation enthalpy at 0 K (eV per atom): -0.19
Theoretical density (g cm⁻³): 7.21

---

# 2
# HfAgNO2

A relaxed structure of HfAgNO2 (PBE, Alexandria).

Lattice parameters (Å, degrees): 4.0885 4.0885 4.3651 90.00 90.00 90.00
Atoms (fractional coordinates):
Hf1 0.0000 0.0000 0.0000
Ag1 0.5000 0.5000 0.5000
N1 0.0000 0.0000 0.5000
O1 0.0000 0.5000 0.0000
O2 0.5000 0.0000 0.0000

Properties
D(E_F) (states/eV/cell): 1.06
Theoretical density (g cm⁻³): 7.56
Energy relative to the elements, uncorrected (eV/atom): -0.9921

---

# 3
# Ca2ScTl

A relaxed structure of Ca2ScTl (PBE, Alexandria).

Lattice parameters (Å, degrees): 3.6635 3.6635 9.4352 90.00 90.00 90.00
Atoms (fractional coordinates):
Ca1 0.0000 0.0000 0.0000
Ca2 0.5000 0.5000 0.3240
Sc1 0.0000 0.0000 0.5950
Tl1 0.5000 0.5000 0.7745

Properties
D(E_F) (states/eV/cell): 3.97
Formation enthalpy at 0 K (eV per atom): -0.11
Excess energy over the best structure of this formula in the dataset (kJ/mol of formula units): 3
Theoretical density (g cm⁻³): 4.32

---

# 4
# TaAs2PbO8

A relaxed structure of TaAs2PbO8 (PBE, Alexandria).

Lattice parameters (Å, degrees): 5.1676 5.1676 7.5138 90.42 90.42 69.16
Atoms (fractional coordinates):
Ta1 0.0000 0.0000 0.0000
As1 0.3675 0.3675 0.2150
As2 0.6325 0.6325 0.7850
Pb1 0.0000 0.0000 0.5000
O1 0.2140 0.7401 0.1949
O2 0.2302 0.2302 0.0386
O3 0.2599 0.7860 0.8051
O4 0.2902 0.2902 0.4216
O5 0.7098 0.7098 0.5784
O6 0.7401 0.2140 0.1949
O7 0.7698 0.7698 0.9614
O8 0.7860 0.2599 0.8051

Properties
D(E_F) (states/eV/cell): 1.95
Theoretical density (g cm⁻³): 5.90
Energy relative to the elements, uncorrected (eV/atom): -1.5851